Mn2AgF6 (PBE+U, optimized geometry); space-group type = No. 162; final energy = -48.6 eV for the cell shown
1.0
5.5412 0.0000 0.0000
-2.7706 4.7988 0.0000
0.0000 0.0000 4.8990
Mn Ag F
2 1 6
direct
0.3333 0.6667 0.0000 Mn
0.6667 0.3333 0.0000 Mn
0.0000 0.0000 0.5000 Ag
0.0000 0.3576 0.7801 F
0.0000 0.6424 0.2199 F
0.3576 0.0000 0.7801 F
0.3576 0.3576 0.2199 F
0.6424 0.0000 0.2199 F
0.6424 0.6424 0.7801 F